PmPrEr4: optimized geometry, PBE-GGA.

a b c (Å): 6.6300 6.6300 6.6300
angles (deg): 60.00 60.00 60.00
Closest atoms and distances in Å follow each position.
Atoms (fractional coordinates):
Pm1 0.0000 0.0000 0.0000  12 Er 3.89, 4 Pr 4.06
Pr1 0.2500 0.2500 0.2500  12 Er 3.89, 4 Pm 4.06
Er1 0.1240 0.6253 0.6253  6 Er 3.31-3.32
Er2 0.6253 0.1240 0.6253  6 Er 3.31-3.32
Er3 0.6253 0.6253 0.1240  6 Er 3.31-3.32
Er4 0.6253 0.6253 0.6253  6 Er 3.31-3.32

Its spin magnetization is 4.245 μB per cell. As for the calculated density: 7695 kg/m³. The energy of formation comes out at 286 meV per atom.

---

Pm2Tm4C: optimized geometry, PBE-GGA.

a b c (Å): 9.6033 9.6033 9.6033
angles (deg): 151.19 151.19 41.20
Closest atoms and distances in Å follow each position.
Atoms (fractional coordinates):
Pm1 0.1787 0.1787 0.0000  5 Tm 3.42-3.49
Pm2 0.8213 0.8213 0.0000  5 Tm 3.42-3.49
Tm1 0.0000 0.5000 0.5000  2 C 2.39
Tm2 0.3690 0.3690 0.0000  1 C 2.35
Tm3 0.5000 0.0000 0.5000  2 C 2.39
Tm4 0.6310 0.6310 0.0000  1 C 2.35
C1 0.5000 0.5000 0.0000  6 Tm 2.35-2.39

Its spin magnetization is 0.002 μB per cell. As for the calculated density: 7909 kg/m³. The energy of formation comes out at 95 meV per atom.

---

Y3BiPd: optimized geometry, PBE-GGA.

a b c (Å): 5.4120 5.4120 5.4120
angles (deg): 90.00 90.00 90.00
Closest atoms and distances in Å follow each position.
Atoms (fractional coordinates):
Y1 0.0000 0.0000 0.5000  2 Pd 2.71
Y2 0.0000 0.5000 0.0000  2 Pd 2.71
Y3 0.5000 0.0000 0.0000  2 Pd 2.71
Bi1 0.5000 0.5000 0.5000  12 Y 3.83
Pd1 0.0000 0.0000 0.0000  6 Y 2.71

Its spin magnetization is 0.000 μB per cell. As for the calculated density: 6098 kg/m³. The energy of formation comes out at -431 meV per atom.

---

RbNa2FeB: optimized geometry, PBE-GGA.

a b c (Å): 5.6707 5.6707 4.0341
angles (deg): 90.00 90.00 90.00
Closest atoms and distances in Å follow each position.
Atoms (fractional coordinates):
Rb1 0.0000 0.0000 0.0000  8 Na 3.48
Na1 0.0000 0.5000 0.5000  2 Fe 2.84
Na2 0.5000 0.0000 0.5000  2 Fe 2.84
Fe1 0.5000 0.5000 0.5000  2 B 2.02
B1 0.5000 0.5000 0.0000  2 Fe 2.02

Its spin magnetization is 2.256 μB per cell. As for the calculated density: 2536 kg/m³. The energy of formation comes out at 739 meV per atom.

---

Question: Among the records above, which one has the lowest energy of formation?
Answer: Y3BiPd